Entry from Alexandria via LeMat-Bulk: BaBO2 after structural relaxation (PBE).

Structure (POSCAR):
```
BaBO2
1.0
-3.519 4.851 2.535
0.140 5.854 2.838
-1.678 6.268 -0.480
B Ba O
1 1 2
Direct
0.000 0.000 0.000 B
0.500 0.500 0.500 Ba
0.931 0.931 0.931 O
0.069 0.069 0.069 O
```

## Properties
The space group is R-3m, No. 166. The calculation puts the uncorrected formation energy at -1.997 eV per atom.

---

Entry from Alexandria via LeMat-Bulk: ReBi2IO after structural relaxation (PBE).

Structure (POSCAR):
```
ReBi2IO
1.0
5.976 0.000 0.000
0.000 3.880 0.000
0.000 0.000 5.976
I Re Bi O
1 1 2 1
Direct
0.000 0.000 0.000 I
0.500 0.500 0.500 Re
0.000 0.000 0.500 Bi
0.500 0.000 0.000 Bi
0.000 0.500 0.000 O
```

## Properties
The space group is P4/mmm, No. 123. The calculation puts the uncorrected formation energy at 1.366 eV per atom.

---

Entry from Alexandria via LeMat-Bulk: PrAl4NiPt2 after structural relaxation (PBE).

Structure (POSCAR):
```
PrAl4NiPt2
1.0
4.241 0.000 0.000
2.121 3.673 0.000
2.121 1.224 8.963
Pr Al Ni Pt
1 4 1 2
Direct
0.000 0.000 0.000 Pr
0.407 0.407 0.778 Al
0.864 0.864 0.407 Al
0.136 0.136 0.593 Al
0.593 0.593 0.222 Al
0.500 0.500 0.500 Ni
0.767 0.767 0.699 Pt
0.233 0.233 0.301 Pt
```

## Properties
For the calculated formation energy, the calculation gives -0.8546 eV/atom. The space group is R-3m, No. 166.

---

Entry from Alexandria via LeMat-Bulk: LaBe3I after structural relaxation (PBE).

Structure (POSCAR):
```
LaBe3I
1.0
4.818 0.000 0.000
0.000 4.818 0.000
0.000 0.000 4.818
I Be La
1 3 1
Direct
0.000 0.000 0.000 I
0.000 0.500 0.000 Be
0.000 0.000 0.500 Be
0.500 0.000 0.000 Be
0.500 0.500 0.500 La
```

## Properties
The space group is Pm-3m, No. 221. The calculation puts the uncorrected formation energy at 1.185 eV per atom. The value obtained for the energy above the most stable polymorph in this dataset is 0.0000 eV/atom.

---

Entry from Alexandria via LeMat-Bulk: PuCdAs2Pd5 after structural relaxation (PBE).

Structure (POSCAR):
```
PuCdAs2Pd5
1.0
-1.069 -1.297 -4.342
0.972 -4.423 1.082
-7.410 -1.101 2.152
Pu Cd As Pd
1 1 2 5
Direct
0.000 0.000 0.500 Pu
0.000 0.000 0.000 Cd
0.500 0.500 0.162 As
0.500 0.500 0.838 As
0.000 0.500 0.264 Pd
0.500 0.000 0.264 Pd
0.000 0.500 0.736 Pd
0.500 0.000 0.736 Pd
0.500 0.500 0.500 Pd
```

## Properties
For the calculated formation energy, the calculation gives -0.3757 eV/atom. The space group is P4/mmm, No. 123.

---

Entry from Alexandria via LeMat-Bulk: Nb2RuRh after structural relaxation (PBE).

Structure (POSCAR):
```
Nb2RuRh
1.0
-3.037 -2.015 -2.924
-3.163 -0.738 4.487
-3.350 4.228 1.259
Nb Ru Rh
4 2 2
Direct
0.278 0.636 0.143 Nb
0.722 0.857 0.364 Nb
0.722 0.364 0.857 Nb
0.278 0.143 0.636 Nb
0.780 0.358 0.358 Ru
0.220 0.642 0.642 Ru
0.784 0.859 0.859 Rh
0.216 0.141 0.141 Rh
```

## Properties
For the calculated formation energy, the calculation gives -0.2950 eV/atom. The space group is C2/m, No. 12.

---

What are the calculated volume values for these records? In order: 19.2, 27.7, 17.5, 22.4, 18.8, 16.1 Å³/atom.
What are the density of states at the Fermi level values for these records? In order: 1.967, 3.412, 4.534, 3.700, 20.586, 8.034 states/eV per cell.